Compound: Ce3RuC3
Source: Alexandria
Functional: PBE-GGA
Structure: optimized geometry

Unit cell a=6.7749 b=6.7749 c=5.2317 alpha=90.00 beta=90.00 gamma=99.52
Positions (direct):
Ce (0.1141, 0.8859, 0.7500)
Ce (0.1707, 0.4167, 0.7500)
Ce (0.4167, 0.1707, 0.2500)
Ce (0.5833, 0.8293, 0.7500)
Ce (0.8293, 0.5833, 0.2500)
Ce (0.8859, 0.1141, 0.2500)
Ru (0.3081, 0.6919, 0.2500)
Ru (0.6919, 0.3081, 0.7500)
C (0.1188, 0.8812, 0.2500)
C (0.1593, 0.4131, 0.2500)
C (0.4131, 0.1593, 0.7500)
C (0.5869, 0.8407, 0.2500)
C (0.8407, 0.5869, 0.7500)
C (0.8812, 0.1188, 0.7500)

Computed properties:
Space-group type   Cmcm, No. 63
Raw total energy   -8.056 eV/atom
Formation energy   -0.2349 eV per atom

=====

Compound: HfNbMo2
Source: Alexandria
Functional: PBE-GGA
Structure: optimized geometry

Unit cell a=3.2597 b=3.2597 c=6.6162 alpha=90.00 beta=90.00 gamma=90.00
Positions (direct):
Hf (0.0000, 0.0000, 0.0000)
Nb (0.0000, 0.0000, 0.5000)
Mo (0.5000, 0.5000, 0.2607)
Mo (0.5000, 0.5000, 0.7393)

Computed properties:
Space-group type   P4/mmm, No. 123
Raw total energy   -10.500 eV/atom
Energy above the lowest structure with this stoichiometry   0.000 eV per atom
Formation energy   -0.0787 eV per atom

=====

Compound: LiTcB
Source: Alexandria
Functional: PBE-GGA
Structure: optimized geometry

Unit cell a=6.6876 b=6.1296 c=5.5478 alpha=69.67 beta=59.26 gamma=51.07
Positions (direct):
Li (0.0000, 0.0000, 0.0000)
Li (0.0000, 0.0000, 0.5000)
Li (0.0000, 0.5000, 0.0000)
Li (0.5000, 0.0000, 0.0000)
Tc (0.2380, 0.2380, 0.5120)
Tc (0.4880, 0.4880, 0.7620)
Tc (0.5120, 0.5120, 0.2380)
Tc (0.7620, 0.7620, 0.4880)
B (0.1846, 0.5654, 0.1846)
B (0.4346, 0.8154, 0.4346)
B (0.5654, 0.1846, 0.5654)
B (0.8154, 0.4346, 0.8154)

Computed properties:
Space-group type   Fddd, No. 70
Raw total energy   -6.324 eV/atom
Formation energy   -0.0048 eV per atom

=====

Compound: Mg3BePb
Source: Alexandria
Functional: PBE-GGA
Structure: optimized geometry

Unit cell a=5.4238 b=5.4238 c=5.4238 alpha=90.00 beta=90.00 gamma=90.00
Positions (direct):
Mg (0.0000, 0.0000, 0.5000)
Mg (0.0000, 0.5000, 0.0000)
Mg (0.5000, 0.0000, 0.0000)
Be (0.5000, 0.5000, 0.5000)
Pb (0.0000, 0.0000, 0.0000)

Computed properties:
Space-group type   Pm-3m, No. 221
Raw total energy   -1.555 eV/atom
Energy above the lowest structure with this stoichiometry   0.649 eV per atom
Formation energy   0.8886 eV per atom

=====

Compound: Ga4Pd
Source: Alexandria
Functional: PBE-GGA
Structure: optimized geometry

Unit cell a=5.2135 b=5.2135 c=6.5348 alpha=90.00 beta=90.00 gamma=90.00
Positions (direct):
Ga (0.1052, 0.2599, 0.3429)
Ga (0.2401, 0.3948, 0.8429)
Ga (0.2599, 0.8948, 0.6571)
Ga (0.3948, 0.7599, 0.1571)
Ga (0.6052, 0.2401, 0.1571)
Ga (0.7401, 0.1052, 0.6571)
Ga (0.7599, 0.6052, 0.8429)
Ga (0.8948, 0.7401, 0.3429)
Pd (0.0000, 0.0000, 0.0000)
Pd (0.5000, 0.5000, 0.5000)

Computed properties:
Space-group type   P-42_1c, No. 114
Raw total energy   -3.689 eV/atom
Energy above the lowest structure with this stoichiometry   0.001 eV per atom
Formation energy   -0.2291 eV per atom

=====

Compound: Ca2CdRh2
Source: Alexandria
Functional: PBE-GGA
Structure: optimized geometry

Unit cell a=5.5690 b=5.5690 c=5.5690 alpha=120.62 beta=120.62 gamma=88.94
Positions (direct):
Ca (0.2500, 0.7500, 0.5000)
Ca (0.7500, 0.2500, 0.5000)
Cd (0.0000, 0.0000, 0.0000)
Rh (0.3405, 0.3405, 0.0000)
Rh (0.6595, 0.6595, 0.0000)

Computed properties:
Space-group type   I4/mmm, No. 139
Raw total energy   -3.992 eV/atom
Formation energy   -0.0673 eV per atom

=====

What is the formula in the fifth record?
Ga4Pd

=====

Which value of formation energy does entry 1 give?
-0.2349 eV per atom

=====

formation energy of number 4 (Mg3BePb)?
0.8886 eV per atom